1.
## GaCu2Au2 (GGA-PBE)

Data for a geometry-optimized GaCu2Au2 structure.

Results
The distance to the lowest polymorph of the same formula comes out at 49.9 meV/atom. The formation energy comes out at -0.059 eV/atom. The calculation puts the density of states at the Fermi level at 0.28 states/eV per atom.

Cell and atoms, written as POSCAR:
```
GaCu2Au2
1.0
3.956 0.000 0.000
0.000 5.455 0.000
-1.978 0.000 7.181
Au Ga Cu
4 2 4
Direct
0.206 0.829 0.413
0.794 0.329 0.587
0.007 0.827 0.014
0.993 0.327 0.986
0.608 0.574 0.217
0.392 0.074 0.783
0.611 0.081 0.221
0.389 0.581 0.779
0.824 0.823 0.647
0.176 0.323 0.353
```

---

2.
## BiPtSeS2 (GGA-PBE)

Data for a geometry-optimized BiPtSeS2 structure.

Results
The calculation puts the density of states at the Fermi level at 1.10 states/eV per atom. The calculation puts the energy relative to the elements, uncorrected at 914 meV/atom.

Cell and atoms, written as POSCAR:
```
BiPtSeS2
1.0
-1.004 2.045 -4.019
-4.468 -3.525 -0.677
-2.713 3.014 2.212
Se Pt S Bi
1 1 2 1
Direct
0.000 0.000 0.000
0.500 0.500 0.500
0.000 0.000 0.500
0.500 0.000 0.000
0.000 0.500 0.000
```

---

3.
## Ga2Pd2Br (GGA-PBE)

Data for a geometry-optimized Ga2Pd2Br structure.

Results
The distance to the lowest polymorph of the same formula comes out at 8.7 meV/atom. The calculation puts the density of states at the Fermi level at 0.37 states/eV per atom. The calculation puts the energy relative to the elements, uncorrected at -296 meV/atom.

Cell and atoms, written as POSCAR:
```
Ga2Pd2Br
1.0
-0.703 2.143 -3.466
-2.249 -3.137 -1.484
-6.125 1.737 -0.150
Pd Br Ga
2 1 2
Direct
0.750 0.250 0.500
0.250 0.750 0.500
0.000 0.000 0.000
0.612 0.612 0.776
0.388 0.388 0.224
```

---

4.
## KNdPbI6 (GGA-PBE)

Data for a geometry-optimized KNdPbI6 structure.

Results
The calculation puts the density of states at the Fermi level at 0.00 states/eV per atom. The calculation puts the energy relative to the elements, uncorrected at -1178 meV/atom.

Cell and atoms, written as POSCAR:
```
KNdPbI6
1.0
-4.562 5.991 3.235
-3.163 -7.500 -0.952
4.964 -3.899 14.222
I Nd K Pb
12 2 2 2
Direct
0.641 0.631 0.132
0.010 0.369 0.632
0.990 0.359 0.132
0.990 0.631 0.368
0.631 0.990 0.868
0.369 0.010 0.132
0.631 0.641 0.632
0.359 0.369 0.868
0.359 0.990 0.632
0.010 0.641 0.868
0.369 0.359 0.368
0.641 0.010 0.368
0.333 0.667 0.750
0.667 0.333 0.250
0.000 0.000 0.000
0.000 0.000 0.500
0.667 0.333 0.750
0.333 0.667 0.250
```

---

5.
## K3PaAg2O6 (GGA-PBE)

Data for a geometry-optimized K3PaAg2O6 structure.

Results
The calculation puts the density of states at the Fermi level at 0.69 states/eV per atom. The calculation puts the energy relative to the elements, uncorrected at -1545 meV/atom.

Cell and atoms, written as POSCAR:
```
K3PaAg2O6
1.0
6.473 0.000 0.000
-3.237 5.606 0.000
0.000 0.000 7.130
Ag O K Pa
2 6 3 1
Direct
0.667 0.333 0.735
0.333 0.667 0.265
0.702 0.851 0.309
0.149 0.298 0.309
0.298 0.149 0.691
0.851 0.149 0.691
0.851 0.702 0.691
0.149 0.851 0.309
0.333 0.667 0.709
0.667 0.333 0.291
0.000 0.000 0.000
0.000 0.000 0.500
```

---

6.
## Cs3NaMn2I9 (GGA-PBE)

Data for a geometry-optimized Cs3NaMn2I9 structure.

Results
The calculation puts the density of states at the Fermi level at 0.12 states/eV per atom. The calculation puts the energy relative to the elements, uncorrected at -951 meV/atom.

Cell and atoms, written as POSCAR:
```
Cs3NaMn2I9
1.0
8.334 0.000 0.000
-4.167 7.217 0.000
0.000 0.000 10.387
I Cs Na Mn
9 3 1 2
Direct
0.173 0.827 0.315
0.500 0.000 0.000
0.347 0.173 0.685
0.827 0.653 0.685
0.173 0.347 0.315
0.500 0.500 0.000
0.000 0.500 0.000
0.827 0.173 0.685
0.653 0.827 0.315
0.000 0.000 0.000
0.333 0.667 0.666
0.667 0.333 0.334
0.000 0.000 0.500
0.667 0.333 0.832
0.333 0.667 0.168
```

---

7.
## CeYTl4 (GGA-PBE)

Data for a geometry-optimized CeYTl4 structure.

Results
The formation energy comes out at 0.036 eV/atom. The calculation puts the density of states at the Fermi level at 1.50 states/eV per atom.

Cell and atoms, written as POSCAR:
```
CeYTl4
1.0
-1.476 4.900 0.870
-4.727 -1.096 -1.849
-2.236 -1.865 6.776
Y Ce Tl
1 1 4
Direct
0.501 0.497 0.998
0.001 0.997 0.498
0.001 0.498 0.237
0.502 0.996 0.237
0.501 0.998 0.759
0.002 0.497 0.759
```

---

8.
## PaBiPd2 (GGA-PBE)

Data for a geometry-optimized PaBiPd2 structure.

Results
The formation energy comes out at -0.278 eV/atom. The calculation puts the density of states at the Fermi level at 1.52 states/eV per atom.

Cell and atoms, written as POSCAR:
```
PaBiPd2
1.0
-0.852 1.159 3.828
-2.864 -3.588 0.449
3.486 -2.587 1.559
Pa Pd Bi
1 2 1
Direct
0.500 0.500 0.500
0.000 0.500 0.000
0.000 0.000 0.500
0.500 0.000 0.000
```

---

9.
## VPt3I (GGA-PBE)

Data for a geometry-optimized VPt3I structure.

Results
The distance to the lowest polymorph of the same formula comes out at 411.7 meV/atom. The calculation puts the density of states at the Fermi level at 1.49 states/eV per atom. The calculation puts the energy relative to the elements, uncorrected at 1282 meV/atom.

Cell and atoms, written as POSCAR:
```
VPt3I
1.0
4.936 0.000 0.000
0.000 4.936 0.000
0.000 0.000 4.936
Pt V I
3 1 1
Direct
0.000 0.500 0.000
0.500 0.000 0.000
0.000 0.000 0.500
0.500 0.500 0.500
0.000 0.000 0.000
```

---

10.
## BeCd2Sb2 (GGA-PBE)

Data for a geometry-optimized BeCd2Sb2 structure.

Results
The distance to the lowest polymorph of the same formula comes out at 193.3 meV/atom. The calculation puts the density of states at the Fermi level at 0.58 states/eV per atom. The calculation puts the energy relative to the elements, uncorrected at 465 meV/atom.

Cell and atoms, written as POSCAR:
```
BeCd2Sb2
1.0
6.647 0.000 0.000
0.000 6.647 0.000
0.000 0.000 5.308
Be Cd Sb
2 4 4
Direct
0.500 0.500 0.000
0.000 0.000 0.000
0.837 0.663 0.000
0.337 0.837 0.000
0.163 0.337 0.000
0.663 0.163 0.000
0.335 0.165 0.500
0.165 0.665 0.500
0.665 0.835 0.500
0.835 0.335 0.500
```

---

11.
## MnOsW2 (GGA-PBE)

Data for a geometry-optimized MnOsW2 structure.

Results
The distance to the lowest polymorph of the same formula comes out at 35.6 meV/atom. The formation energy comes out at 0.143 eV/atom. The calculation puts the density of states at the Fermi level at 0.98 states/eV per atom.

Cell and atoms, written as POSCAR:
```
MnOsW2
1.0
-1.790 3.196 -3.068
-4.713 -0.654 -0.441
2.814 0.478 3.832
Mn Os W
1 1 2
Direct
0.250 0.750 0.500
0.750 0.250 0.500
0.500 0.500 0.000
0.000 0.000 0.000
```

---

12.
## TiMnPd (GGA-PBE)

Data for a geometry-optimized TiMnPd structure.

Results
The distance to the lowest polymorph of the same formula comes out at 403.3 meV/atom. The formation energy comes out at 0.248 eV/atom. The calculation puts the density of states at the Fermi level at 1.02 states/eV per atom.

Cell and atoms, written as POSCAR:
```
TiMnPd
1.0
3.733 0.000 0.000
0.000 3.733 0.000
0.000 0.000 7.366
Pd Mn Ti
2 2 2
Direct
0.500 0.500 0.500
0.000 0.000 0.500
0.500 0.500 0.000
0.000 0.000 0.000
0.000 0.500 0.242
0.500 0.000 0.758
```

---

13.
## SiTcW2 (GGA-PBE)

Data for a geometry-optimized SiTcW2 structure.

Results
The calculation puts the density of states at the Fermi level at 1.23 states/eV per atom. The calculation puts the energy relative to the elements, uncorrected at 130 meV/atom.

Cell and atoms, written as POSCAR:
```
SiTcW2
1.0
4.197 0.000 0.000
0.000 3.772 0.000
0.000 0.000 3.772
W Si Tc
2 1 1
Direct
0.000 0.500 0.500
0.000 0.000 0.000
0.500 0.500 0.000
0.500 0.000 0.500
```

---

14.
## CaCr2Pt (GGA-PBE)

Data for a geometry-optimized CaCr2Pt structure.

Results
The formation energy comes out at 0.295 eV/atom. The calculation puts the density of states at the Fermi level at 1.23 states/eV per atom.

Cell and atoms, written as POSCAR:
```
CaCr2Pt
1.0
-2.893 0.740 2.994
-1.732 -3.765 -0.742
2.536 -1.733 2.879
Ca Cr Pt
1 2 1
Direct
0.500 0.000 0.500
0.000 0.000 0.000
0.000 0.500 0.500
0.500 0.500 0.000
```

---

15.
## MnPBr (GGA-PBE)

Data for a geometry-optimized MnPBr structure.

Results
The distance to the lowest polymorph of the same formula comes out at 0.0 meV/atom. The calculation puts the energy relative to the elements, uncorrected at -219 meV/atom.

Cell and atoms, written as POSCAR:
```
MnPBr
1.0
3.438 0.000 0.000
-1.719 2.977 0.000
0.000 0.000 6.924
P Mn Br
1 1 1
Direct
0.333 0.667 0.536
0.667 0.333 0.354
0.000 0.000 0.110
```

---

16.
## Fe2AgAs (GGA-PBE)

Data for a geometry-optimized Fe2AgAs structure.

Results
The formation energy comes out at 0.510 eV/atom. The calculation puts the density of states at the Fermi level at 0.93 states/eV per atom.

Cell and atoms, written as POSCAR:
```
Fe2AgAs
1.0
3.819 0.000 0.000
0.000 3.819 0.000
1.909 1.909 8.874
Fe Ag As
4 2 2
Direct
0.573 0.125 0.250
0.177 0.625 0.250
0.875 0.823 0.750
0.375 0.427 0.750
0.750 0.250 0.500
0.000 0.000 0.000
0.500 0.500 0.000
0.250 0.750 0.500
```

---

17.
## CsYCl3 (GGA-PBE)

Data for a geometry-optimized CsYCl3 structure.

Results
The calculation puts the density of states at the Fermi level at 0.33 states/eV per atom. The calculation puts the energy relative to the elements, uncorrected at -1640 meV/atom.

Cell and atoms, written as POSCAR:
```
CsYCl3
1.0
-1.549 -3.569 2.576
4.390 -1.057 1.176
-0.571 5.078 6.693
Cl Y Cs
3 1 1
Direct
0.000 0.500 0.420
0.500 0.000 0.420
0.000 0.000 0.729
0.500 0.500 0.583
0.000 0.000 0.113
```

---

18.
## K2In6GaHg (GGA-PBE)

Data for a geometry-optimized K2In6GaHg structure.

Results
The formation energy comes out at -0.005 eV/atom. The calculation puts the density of states at the Fermi level at 0.35 states/eV per atom.

Cell and atoms, written as POSCAR:
```
K2In6GaHg
1.0
7.461 0.000 0.000
3.731 6.462 0.000
3.731 2.154 13.805
K In Hg Ga
4 12 2 2
Direct
0.142 0.142 0.574
0.312 0.312 0.065
0.688 0.688 0.935
0.858 0.858 0.426
0.633 0.082 0.652
0.794 0.193 0.821
0.193 0.193 0.821
0.807 0.807 0.179
0.807 0.206 0.179
0.367 0.367 0.348
0.367 0.918 0.348
0.082 0.633 0.652
0.206 0.807 0.179
0.918 0.367 0.348
0.193 0.794 0.821
0.633 0.633 0.652
0.000 0.000 0.000
0.500 0.500 0.500
0.594 0.594 0.219
0.406 0.406 0.781
```

---

19.
## MgNiSb2 (GGA-PBE)

Data for a geometry-optimized MgNiSb2 structure.

Results
The calculation puts the density of states at the Fermi level at 0.23 states/eV per atom. The calculation puts the energy relative to the elements, uncorrected at -115 meV/atom.

Cell and atoms, written as POSCAR:
```
MgNiSb2
1.0
3.212 0.000 0.000
0.000 3.212 0.000
0.000 0.000 8.386
Sb Mg Ni
2 1 1
Direct
0.500 0.500 0.297
0.000 0.000 0.910
0.000 0.000 0.550
0.500 0.500 0.743
```

---

20.
## ReSi3Au (GGA-PBE)

Data for a geometry-optimized ReSi3Au structure.

Results
The distance to the lowest polymorph of the same formula comes out at 0.0 meV/atom. The calculation puts the density of states at the Fermi level at 0.01 states/eV per atom. The calculation puts the energy relative to the elements, uncorrected at 429 meV/atom.

Cell and atoms, written as POSCAR:
```
ReSi3Au
1.0
-1.219 -1.467 -4.282
3.463 -3.158 0.096
-2.915 -3.139 1.905
Si Re Au
3 1 1
Direct
0.500 0.000 0.000
0.000 0.500 0.000
0.000 0.000 0.500
0.000 0.000 0.000
0.500 0.500 0.500
```

---

21.
## Cs2YPbF6 (GGA-PBE)

Data for a geometry-optimized Cs2YPbF6 structure.

Results
The calculation puts the density of states at the Fermi level at 0.00 states/eV per atom. The calculation puts the energy relative to the elements, uncorrected at -2972 meV/atom.

Cell and atoms, written as POSCAR:
```
Cs2YPbF6
1.0
-5.001 -4.279 -0.481
4.192 -4.670 -2.042
0.453 -6.090 4.195
Y F Pb Cs
1 6 1 2
Direct
0.500 0.500 0.000
0.735 0.265 0.000
0.265 0.265 0.000
0.265 0.735 0.000
0.311 0.311 0.379
0.689 0.689 0.621
0.735 0.735 0.000
0.000 0.000 0.000
0.750 0.250 0.500
0.250 0.750 0.500
```

---

22.
## GeSbAu2 (GGA-PBE)

Data for a geometry-optimized GeSbAu2 structure.

Results
The distance to the lowest polymorph of the same formula comes out at 60.8 meV/atom. The calculation puts the density of states at the Fermi level at 0.40 states/eV per atom. The calculation puts the energy relative to the elements, uncorrected at 66 meV/atom.

Cell and atoms, written as POSCAR:
```
GeSbAu2
1.0
-0.796 2.425 3.312
0.130 -1.616 3.854
5.500 1.632 2.767
Sb Au Ge
1 2 1
Direct
0.498 0.498 0.507
0.260 0.260 0.221
0.073 0.073 0.780
0.669 0.669 0.992
```

---

| no. | total moment (μB per atom) |
| --- | --- |
| 1 | 0.00 |
| 2 | 0.00 |
| 3 | 0.00 |
| 4 | 0.00 |
| 5 | 0.00 |
| 6 | 0.60 |
| 7 | 0.15 |
| 8 | 0.22 |
| 9 | 0.71 |
| 10 | 0.00 |
| 11 | 0.52 |
| 12 | 0.65 |
| 13 | 0.00 |
| 14 | 2.15 |
| 15 | 1.00 |
| 16 | 1.34 |
| 17 | 0.19 |
| 18 | 0.00 |
| 19 | 0.00 |
| 20 | 0.00 |
| 21 | 0.10 |
| 22 | 0.00 |